Crystalline BiSeN3 at its relaxed geometry. Source: Alexandria via LeMat-Bulk, functional PBE.

- Calculated volume: 78.6 Å³ per cell
- DFT total energy: -20.5 eV/cell
- DOS at the Fermi energy: 5.5 states/eV/cell
- Uncorrected formation energy: 2.376 eV/atom

a = 4.2833 Å, b = 4.2833 Å, c = 4.2833 Å
α = 90.00°, β = 90.00°, γ = 90.00°
Sites, in units of the cell vectors:
Bi  0.0000  0.0000  0.0000
Se  0.5000  0.5000  0.5000
N  0.0000  0.0000  0.5000
N  0.0000  0.5000  0.0000
N  0.5000  0.0000  0.0000


Crystalline Re3Pt4 at its relaxed geometry. Source: Alexandria via LeMat-Bulk, functional PBE.

- Calculated volume: 112.4 Å³ per cell
- DFT total energy: -60.0 eV/cell
- Energy above the most stable polymorph in this dataset: 0.111 eV per atom
- DOS at the Fermi energy: 5.3 states/eV/cell

a = 5.1046 Å, b = 5.1046 Å, c = 4.9796 Å
α = 90.00°, β = 90.00°, γ = 120.00°
Sites, in units of the cell vectors:
Re  0.0000  0.5000  0.0000
Re  0.5000  0.0000  0.0000
Re  0.5000  0.5000  0.0000
Pt  0.0000  0.0000  0.2516
Pt  0.0000  0.0000  0.7484
Pt  0.3333  0.6667  0.5000
Pt  0.6667  0.3333  0.5000